[1]
Density functional theory data (PBE) for crystalline LiLuMgCu at its relaxed geometry.

a = 4.738 Å, b = 4.738 Å, c = 4.738 Å
α = 60.00°, β = 60.00°, γ = 60.00°
Fractional positions:
Mg: 0.500 0.500 0.500
Li: 0.750 0.750 0.750
Lu: 0.000 0.000 0.000
Cu: 0.250 0.250 0.250

Computed properties:
Calculated formation energy: -0.3 eV per formula unit
Crystal system: cubic
Symmetry: No. 216
N(E_F): 1.461 states/eV/atom

---

[2]
Density functional theory data (PBE) for crystalline LiLuCuPd at its relaxed geometry.

a = 4.616 Å, b = 4.616 Å, c = 4.616 Å
α = 60.00°, β = 60.00°, γ = 60.00°
Fractional positions:
Cu: 0.250 0.250 0.250
Lu: 0.000 0.000 0.000
Pd: 0.750 0.750 0.750
Li: 0.500 0.500 0.500

Computed properties:
Calculated formation energy: -1.7 eV per formula unit
Crystal system: cubic
Symmetry: No. 216
N(E_F): 0.535 states/eV/atom

---

[3]
Density functional theory data (PBE) for crystalline LiPrLuCu at its relaxed geometry.

a = 5.083 Å, b = 5.083 Å, c = 5.083 Å
α = 60.00°, β = 60.00°, γ = 60.00°
Fractional positions:
Pr: 0.500 0.500 0.500
Lu: 0.000 0.000 0.000
Li: 0.750 0.750 0.750
Cu: 0.250 0.250 0.250

Computed properties:
Calculated formation energy: 0.0 eV per formula unit
Crystal system: cubic
Symmetry: No. 216
N(E_F): 1.133 states/eV/atom

---

[4]
Density functional theory data (PBE) for crystalline LiLuCuPt at its relaxed geometry.

a = 4.597 Å, b = 4.597 Å, c = 4.597 Å
α = 60.00°, β = 60.00°, γ = 60.00°
Fractional positions:
Cu: 0.250 0.250 0.250
Lu: 0.000 0.000 0.000
Li: 0.500 0.500 0.500
Pt: 0.750 0.750 0.750

Computed properties:
Calculated formation energy: -2.4 eV per formula unit
Crystal system: cubic
Symmetry: No. 216
N(E_F): 0.448 states/eV/atom